[1]
The following is a PBE calculation of a relaxed CaPaRh2 crystal, from the Alexandria database.

Cell: 4.850 4.850 4.850 Å, 60.00 60.00 60.00°
Fractional coordinates of all 4 atoms:
Ca  0.500  0.500  0.500
Rh  0.750  0.750  0.750
Rh  0.250  0.250  0.250
Pa  0.000  0.000  0.000

Results
Mass density = 9.81 g/cm3
Space-group type = Fm-3m (225)
Formation energy = -12.16 kcal/mol of atoms
Calculated total energy = -7.08 eV per atom

---

[2]
The following is a PBE calculation of a relaxed ErAlZn2 crystal, from the Alexandria database.

Cell: 4.427 6.483 10.322 Å, 90.00 90.00 90.00°
Fractional coordinates of all 16 atoms:
Zn  0.250  0.554  0.369
Zn  0.750  0.946  0.869
Zn  0.750  0.554  0.869
Zn  0.750  0.054  0.631
Zn  0.750  0.446  0.631
Zn  0.250  0.946  0.369
Zn  0.250  0.054  0.131
Zn  0.250  0.446  0.131
Al  0.250  0.750  0.948
Al  0.250  0.250  0.552
Al  0.750  0.250  0.052
Al  0.750  0.750  0.448
Er  0.750  0.250  0.345
Er  0.750  0.750  0.155
Er  0.250  0.250  0.845
Er  0.250  0.750  0.655

Results
Mass density = 7.29 g/cm3
Space-group type = Cmcm (63)
Formation energy = -9.06 kcal/mol of atoms
Calculated total energy = -3.11 eV per atom

---

[3]
The following is a PBE calculation of a relaxed TlCd2Au2 crystal, from the Alexandria database.

Cell: 4.661 4.211 12.093 Å, 93.04 90.00 90.00°
Fractional coordinates of all 10 atoms:
Cd  0.750  0.739  0.510
Cd  0.250  0.261  0.490
Cd  0.250  0.921  0.885
Cd  0.750  0.079  0.115
Au  0.250  0.792  0.653
Au  0.750  0.208  0.347
Au  0.750  0.587  0.946
Au  0.250  0.413  0.054
Tl  0.750  0.272  0.727
Tl  0.250  0.728  0.273

Results
Mass density = 11.53 g/cm3
Space-group type = P2_1/m (11)
Formation energy = -1.82 kcal/mol of atoms
Calculated total energy = -2.23 eV per atom

---

[4]
The following is a PBE calculation of a relaxed Ac8Co3AuCl4 crystal, from the Alexandria database.

Cell: 8.621 9.357 8.621 Å, 117.47 120.00 90.00°
Fractional coordinates of all 16 atoms:
Cl  0.000  0.000  0.500
Cl  0.000  0.000  0.000
Cl  0.500  0.000  0.500
Cl  0.500  0.000  0.000
Ac  0.757  0.298  0.514
Ac  0.243  0.702  0.960
Ac  0.717  0.702  0.960
Ac  0.283  0.298  0.040
Ac  0.243  0.702  0.486
Ac  0.267  0.300  0.533
Ac  0.733  0.700  0.467
Ac  0.757  0.298  0.040
Co  0.000  0.500  0.500
Co  0.500  0.500  0.500
Co  0.500  0.500  0.000
Au  0.000  0.500  0.000

Results
Mass density = 7.60 g/cm3
Space-group type = C2/m (12)
Calculated total energy = -4.97 eV per atom

---

[5]
The following is a PBE calculation of a relaxed Hf2SnHg crystal, from the Alexandria database.

Cell: 4.324 4.446 4.446 Å, 90.00 90.00 90.00°
Fractional coordinates of all 4 atoms:
Hf  0.000  0.000  0.500
Hf  0.000  0.500  0.000
Hg  0.500  0.500  0.500
Sn  0.500  0.000  0.000

Results
Mass density = 13.14 g/cm3
Space-group type = P4/mmm (123)
Formation energy = -3.74 kcal/mol of atoms
Calculated total energy = -6.22 eV per atom

---

[6]
The following is a PBE calculation of a relaxed UTlHg2I6 crystal, from the Alexandria database.

Cell: 9.364 9.362 8.185 Å, 89.97 124.88 120.05°
Fractional coordinates of all 10 atoms:
I  0.546  0.881  0.707
I  0.059  0.176  0.708
I  0.152  0.332  0.253
I  0.934  0.819  0.252
I  0.447  0.114  0.253
I  0.841  0.664  0.708
U  0.997  0.998  0.980
Hg  0.619  0.309  0.914
Hg  0.374  0.687  0.046
Tl  0.997  0.498  0.480

Results
Mass density = 5.71 g/cm3
Space-group type = R-3 (148)
Calculated total energy = -2.92 eV per atom

---

[7]
The following is a PBE calculation of a relaxed TcHgRh2 crystal, from the Alexandria database.

Cell: 7.167 7.167 5.779 Å, 51.68 51.68 90.00°
Fractional coordinates of all 8 atoms:
Rh  0.170  0.625  0.250
Rh  0.875  0.830  0.750
Rh  0.375  0.420  0.750
Rh  0.580  0.125  0.250
Hg  0.000  0.000  0.000
Hg  0.750  0.250  0.500
Tc  0.500  0.500  0.000
Tc  0.250  0.750  0.500

Results
Mass density = 11.74 g/cm3
Space-group type = I-42d (122)
Formation energy = 13.86 kcal/mol of atoms
Calculated total energy = -5.74 eV per atom

---

[8]
The following is a PBE calculation of a relaxed Ac3Ag7Hg2 crystal, from the Alexandria database.

Cell: 4.554 5.144 13.781 Å, 96.44 90.00 90.00°
Fractional coordinates of all 12 atoms:
Ag  0.000  0.000  0.000
Ag  0.000  0.710  0.161
Ag  0.000  0.290  0.839
Ag  0.500  0.052  0.156
Ag  0.500  0.740  0.464
Ag  0.500  0.260  0.536
Ag  0.500  0.948  0.844
Ac  0.000  0.165  0.353
Ac  0.000  0.835  0.647
Ac  0.500  0.500  0.000
Hg  0.500  0.434  0.735
Hg  0.500  0.566  0.265

Results
Mass density = 9.51 g/cm3
Space-group type = P2/m (10)
Formation energy = -4.62 kcal/mol of atoms
Calculated total energy = -2.94 eV per atom

---

[9]
The following is a PBE calculation of a relaxed BaNa3Tl2 crystal, from the Alexandria database.

Cell: 5.087 8.904 11.129 Å, 120.86 90.00 106.60°
Fractional coordinates of all 12 atoms:
Na  0.744  0.487  0.594
Na  0.586  0.172  0.695
Na  0.414  0.828  0.305
Na  0.256  0.513  0.406
Na  0.932  0.863  0.583
Na  0.068  0.137  0.417
Ba  0.878  0.757  0.008
Ba  0.122  0.243  0.992
Tl  0.222  0.444  0.764
Tl  0.422  0.843  0.791
Tl  0.578  0.157  0.209
Tl  0.778  0.556  0.236

Results
Mass density = 5.01 g/cm3
Space-group type = C2/m (12)
Formation energy = -3.98 kcal/mol of atoms
Calculated total energy = -1.94 eV per atom

---

[10]
The following is a PBE calculation of a relaxed Y3SiSn2 crystal, from the Alexandria database.

Cell: 4.281 11.913 12.307 Å, 90.00 90.00 90.00°
Fractional coordinates of all 24 atoms:
Si  0.250  0.129  0.126
Si  0.750  0.871  0.874
Si  0.250  0.371  0.626
Si  0.750  0.629  0.374
Sn  0.750  0.502  0.190
Sn  0.750  0.202  0.997
Sn  0.250  0.498  0.810
Sn  0.250  0.798  0.003
Sn  0.750  0.998  0.690
Sn  0.250  0.702  0.503
Sn  0.250  0.002  0.310
Sn  0.750  0.298  0.497
Y  0.750  0.282  0.763
Y  0.250  0.379  0.055
Y  0.750  0.621  0.945
Y  0.250  0.121  0.555
Y  0.250  0.453  0.386
Y  0.750  0.879  0.445
Y  0.750  0.218  0.263
Y  0.750  0.547  0.614
Y  0.250  0.782  0.737
Y  0.250  0.047  0.886
Y  0.250  0.718  0.237
Y  0.750  0.953  0.114

Results
Mass density = 5.63 g/cm3
Space-group type = Pnma (62)
Calculated total energy = -6.14 eV per atom

---

[11]
The following is a PBE calculation of a relaxed Be3SF crystal, from the Alexandria database.

Cell: 3.907 3.907 3.907 Å, 90.00 90.00 90.00°
Fractional coordinates of all 5 atoms:
F  0.000  0.000  0.000
Be  0.000  0.000  0.500
Be  0.500  0.000  0.000
Be  0.000  0.500  0.000
S  0.500  0.500  0.500

Results
Mass density = 2.17 g/cm3
Space-group type = Pm-3m (221)
Calculated total energy = -3.05 eV per atom

---

[12]
The following is a PBE calculation of a relaxed TiPbSe2Br crystal, from the Alexandria database.

Cell: 5.133 5.133 5.109 Å, 90.00 90.00 90.00°
Fractional coordinates of all 5 atoms:
Se  0.500  0.000  0.000
Se  0.000  0.500  0.000
Pb  0.500  0.500  0.500
Br  0.000  0.000  0.500
Ti  0.000  0.000  0.000

Results
Mass density = 6.08 g/cm3
Space-group type = P4/mmm (123)
Calculated total energy = -4.65 eV per atom

---

[13]
The following is a PBE calculation of a relaxed YTmZnCu crystal, from the Alexandria database.

Cell: 4.950 4.950 4.950 Å, 60.00 60.00 60.00°
Fractional coordinates of all 4 atoms:
Y  0.750  0.750  0.750
Tm  0.250  0.250  0.250
Zn  0.500  0.500  0.500
Cu  0.000  0.000  0.000

Results
Mass density = 7.49 g/cm3
Space-group type = F-43m (216)
Formation energy = -6.89 kcal/mol of atoms
Calculated total energy = -4.38 eV per atom

---

[14]
The following is a PBE calculation of a relaxed Cr2RuAu crystal, from the Alexandria database.

Cell: 4.728 4.728 4.728 Å, 132.06 132.06 70.14°
Fractional coordinates of all 4 atoms:
Cr  0.000  0.000  0.000
Cr  0.250  0.750  0.500
Au  0.750  0.250  0.500
Ru  0.500  0.500  0.000

Results
Mass density = 11.69 g/cm3
Space-group type = I-4m2 (119)
Formation energy = 6.20 kcal/mol of atoms
Calculated total energy = -7.68 eV per atom

---

[15]
The following is a PBE calculation of a relaxed Tc2B2Ir crystal, from the Alexandria database.

Cell: 5.510 5.510 3.629 Å, 90.00 90.00 90.00°
Fractional coordinates of all 10 atoms:
Tc  0.673  0.827  0.500
Tc  0.827  0.327  0.500
Tc  0.173  0.673  0.500
Tc  0.327  0.173  0.500
Ir  0.500  0.500  0.000
Ir  0.000  0.000  0.000
B  0.885  0.615  0.000
B  0.615  0.115  0.000
B  0.385  0.885  0.000
B  0.115  0.385  0.000

Results
Mass density = 12.35 g/cm3
Space-group type = P4/mbm (127)
Formation energy = -6.02 kcal/mol of atoms
Calculated total energy = -8.85 eV per atom

---

[16]
The following is a PBE calculation of a relaxed Na2HfAlTe5 crystal, from the Alexandria database.

Cell: 3.918 10.091 15.073 Å, 90.00 90.00 101.19°
Fractional coordinates of all 18 atoms:
Na  0.881  0.761  0.824
Na  0.119  0.239  0.324
Na  0.893  0.786  0.161
Na  0.107  0.214  0.661
Te  0.294  0.587  0.393
Te  0.284  0.567  0.675
Te  0.706  0.413  0.893
Te  0.716  0.433  0.175
Te  0.938  0.877  0.538
Te  0.492  0.984  0.274
Te  0.508  0.016  0.774
Te  0.643  0.286  0.499
Te  0.062  0.123  0.038
Te  0.357  0.714  0.999
Al  0.425  0.851  0.422
Al  0.575  0.149  0.922
Hf  0.783  0.566  0.539
Hf  0.217  0.434  0.039

Results
Mass density = 5.05 g/cm3
Space-group type = Cmc2_1 (36)
Calculated total energy = -4.24 eV per atom

---

[17]
The following is a PBE calculation of a relaxed PaNi6H12 crystal, from the Alexandria database.

Cell: 5.906 5.906 5.906 Å, 113.23 113.23 113.23°
Fractional coordinates of all 19 atoms:
H  0.328  0.838  0.996
H  0.593  0.529  0.868
H  0.471  0.132  0.407
H  0.162  0.004  0.672
H  0.132  0.407  0.471
H  0.838  0.996  0.328
H  0.996  0.328  0.838
H  0.529  0.868  0.593
H  0.004  0.672  0.162
H  0.407  0.471  0.132
H  0.672  0.162  0.004
H  0.868  0.593  0.529
Ni  0.311  0.703  0.212
Ni  0.788  0.689  0.297
Ni  0.703  0.212  0.311
Ni  0.297  0.788  0.689
Ni  0.212  0.311  0.703
Ni  0.689  0.297  0.788
Pa  0.000  0.000  0.000

Results
Mass density = 7.49 g/cm3
Space-group type = R-3 (148)
Calculated total energy = -4.51 eV per atom

---

[18]
The following is a PBE calculation of a relaxed Ti2CoCu crystal, from the Alexandria database.

Cell: 2.979 2.979 6.233 Å, 90.00 90.00 90.00°
Fractional coordinates of all 4 atoms:
Co  0.500  0.500  0.000
Ti  0.000  0.000  0.762
Ti  0.000  0.000  0.238
Cu  0.500  0.500  0.500

Results
Mass density = 6.55 g/cm3
Space-group type = P4/mmm (123)
Formation energy = -4.92 kcal/mol of atoms
Calculated total energy = -6.96 eV per atom

---

[19]
The following is a PBE calculation of a relaxed LaHgTe2 crystal, from the Alexandria database.

Cell: 6.582 6.582 6.582 Å, 139.66 139.66 58.37°
Fractional coordinates of all 4 atoms:
Te  0.000  0.000  0.000
Te  0.250  0.750  0.500
La  0.750  0.250  0.500
Hg  0.500  0.500  0.000

Results
Mass density = 8.34 g/cm3
Space-group type = I-4m2 (119)
Calculated total energy = -3.72 eV per atom

---

[20]
The following is a PBE calculation of a relaxed PrEuTmSc crystal, from the Alexandria database.

Cell: 5.659 5.659 5.659 Å, 60.00 60.00 60.00°
Fractional coordinates of all 4 atoms:
Pr  0.750  0.750  0.750
Sc  0.000  0.000  0.000
Eu  0.250  0.250  0.250
Tm  0.500  0.500  0.500

Results
Mass density = 6.57 g/cm3
Space-group type = F-43m (216)
Formation energy = 3.52 kcal/mol of atoms
Calculated total energy = -6.31 eV per atom

---

Number 1: spin magnetization 0.00 μB/atom. Number 2: spin magnetization 0.00 μB/atom. Number 3: spin magnetization 0.00 μB/atom. Number 4: spin magnetization 0.00 μB/atom. Number 5: spin magnetization 0.00 μB/atom. Number 6: spin magnetization 0.10 μB/atom. Number 7: spin magnetization 0.00 μB/atom. Number 8: spin magnetization 0.00 μB/atom. Number 9: spin magnetization 0.00 μB/atom. Number 10: spin magnetization 0.00 μB/atom. Number 11: spin magnetization 0.00 μB/atom. Number 12: spin magnetization 0.18 μB/atom. Number 13: spin magnetization 0.00 μB/atom. Number 14: spin magnetization 0.16 μB/atom. Number 15: spin magnetization 0.00 μB/atom. Number 16: spin magnetization 0.00 μB/atom. Number 17: spin magnetization 0.00 μB/atom. Number 18: spin magnetization 0.00 μB/atom. Number 19: spin magnetization 0.00 μB/atom. Number 20: spin magnetization 1.73 μB/atom.